DFT (GGA-PBE) results for an optimized crystal structure of MgZrO.

Unit cell a=3.6973 b=3.6589 c=9.9042 alpha=100.95 beta=90.00 gamma=120.35
Sites, in units of the cell vectors:
Mg 0.7068 0.4136 0.6225
Mg 0.2932 0.5864 0.3775
Zr 0.1308 0.2615 0.8834
Zr 0.8692 0.7385 0.1166
O 0.7880 0.5759 0.8630
O 0.2120 0.4241 0.1370

Computed properties:
space-group type = C2/m, No. 12
E_form (uncorrected) = -1340 meV/atom
DOS(E_F) = 3.4 states/eV/cell